Mg4PtPb after structural relaxation. Source: Alexandria via LeMat-Bulk, functional PBE.

```
Mg4PtPb
1.0
0.000 3.983 3.983
3.983 0.000 3.983
3.983 3.983 0.000
Mg Pt Pb
4 1 1
direct
0.376 0.376 0.376
0.376 0.376 0.872
0.376 0.872 0.376
0.872 0.376 0.376
0.750 0.750 0.750
0.000 0.000 0.000
```

As for the symmetry: F-43m, No. 216. As for the distance to the lowest polymorph of the same formula: 373 meV/atom.

=====

Mg3PtPb after structural relaxation. Source: Alexandria via LeMat-Bulk, functional PBE.

```
Mg3PtPb
1.0
5.032 0.000 0.000
0.000 5.032 0.000
0.000 0.000 5.032
Mg Pt Pb
3 1 1
direct
0.000 0.000 0.500
0.000 0.500 0.000
0.500 0.000 0.000
0.000 0.000 0.000
0.500 0.500 0.500
```

As for the symmetry: Pm-3m, No. 221. As for the distance to the lowest polymorph of the same formula: 0 meV/atom.

=====

MgPtPb2 after structural relaxation. Source: Alexandria via LeMat-Bulk, functional PBE.

```
MgPtPb2
1.0
3.374 0.000 0.000
0.000 5.064 0.000
0.000 0.000 11.331
Mg Pt Pb
2 2 4
direct
0.000 0.000 0.000
0.500 0.500 0.500
0.000 0.500 0.316
0.500 0.000 0.816
0.000 0.000 0.593
0.000 0.500 0.797
0.500 0.000 0.297
0.500 0.500 0.093
```

As for the symmetry: Imm2, No. 44.

=====

| no. | total DFT energy (no corrections) (eV per cell) | calculated density (g/cm3) |
| --- | --- | --- |
| 1 | -16.17 | 6.56 |
| 2 | -15.91 | 6.19 |
| 3 | -31.23 | 10.87 |